[1]
This record from Alexandria via LeMat-Bulk describes CaEu3Ru after structural relaxation. The functional is PBE.

As for the space-group type: No. 221. The value obtained for the final energy is -8.3897 eV/atom. Its crystal system is cubic.

abc: 5.6121 5.6121 5.6121
angles: 90.00 90.00 90.00
Fractional positions:
1 Ca 0.0000 0.0000 0.0000
2 Eu 0.0000 0.5000 0.5000
3 Eu 0.5000 0.0000 0.5000
4 Eu 0.5000 0.5000 0.0000
5 Ru 0.5000 0.5000 0.5000

[2]
This record from Alexandria via LeMat-Bulk describes LaPPt4 after structural relaxation. The functional is PBE.

As for the space-group type: No. 63. Its crystal system is orthorhombic. As for the offset from the most stable computed form: 0 meV per atom.

abc: 7.9819 7.9819 6.8320
angles: 90.00 90.00 150.40
Fractional positions:
1 La 0.1031 0.8969 0.7500
2 La 0.8969 0.1031 0.2500
3 P 0.2406 0.7594 0.2500
4 P 0.7594 0.2406 0.7500
5 Pt 0.0876 0.9124 0.2500
6 Pt 0.3143 0.6857 0.5444
7 Pt 0.3143 0.6857 0.9556
8 Pt 0.5000 0.5000 0.0000
9 Pt 0.5000 0.5000 0.5000
10 Pt 0.6857 0.3143 0.0444
11 Pt 0.6857 0.3143 0.4556
12 Pt 0.9124 0.0876 0.7500

[3]
This record from Alexandria via LeMat-Bulk describes Mo2IrSe5 after structural relaxation. The functional is PBE.

As for the space-group type: No. 8. Its crystal system is monoclinic. The uncorrected formation energy comes out at -0.046 eV per atom.

abc: 7.0054 7.0054 5.3947
angles: 109.38 109.38 54.93
Fractional positions:
1 Mo 0.0000 0.0000 0.0000
2 Mo 0.6163 0.6163 0.6128
3 Ir 0.5329 0.5329 0.0479
4 Se 0.2144 0.7067 0.3016
5 Se 0.4006 0.9236 0.9858
6 Se 0.7067 0.2144 0.3016
7 Se 0.8133 0.8133 0.6376
8 Se 0.9236 0.4006 0.9858

[4]
This record from Alexandria via LeMat-Bulk describes ScPa2Nb after structural relaxation. The functional is PBE.

As for the space-group type: No. 123. Its crystal system is tetragonal. As for the offset from the most stable computed form: 0 meV per atom.

abc: 4.3217 4.3217 4.9091
angles: 90.00 90.00 90.00
Fractional positions:
1 Sc 0.0000 0.0000 0.0000
2 Pa 0.0000 0.5000 0.5000
3 Pa 0.5000 0.0000 0.5000
4 Nb 0.5000 0.5000 0.0000

[5]
This record from Alexandria via LeMat-Bulk describes CeDyOs after structural relaxation. The functional is PBE.

As for the space-group type: No. 156. Its crystal system is trigonal. As for the offset from the most stable computed form: 267 meV per atom.

abc: 4.4709 4.4709 4.2271
angles: 90.00 90.00 120.00
Fractional positions:
1 Ce 0.0000 0.0000 0.0000
2 Dy 0.3333 0.6667 0.4583
3 Os 0.6667 0.3333 0.7607

[6]
This record from Alexandria via LeMat-Bulk describes LaTa2P2 after structural relaxation. The functional is PBE.

As for the space-group type: No. 139. Its crystal system is tetragonal. As for the offset from the most stable computed form: 296 meV per atom.

abc: 5.5866 5.5866 5.5866
angles: 129.34 129.34 74.47
Fractional positions:
1 La 0.0000 0.0000 0.0000
2 Ta 0.3532 0.3532 0.0000
3 Ta 0.6468 0.6468 0.0000
4 P 0.2500 0.7500 0.5000
5 P 0.7500 0.2500 0.5000

[7]
This record from Alexandria via LeMat-Bulk describes MgPaNb2N6 after structural relaxation. The functional is PBE.

As for the space-group type: No. 15. Its crystal system is monoclinic. The uncorrected formation energy comes out at -0.817 eV per atom.

abc: 7.2248 7.2248 6.3399
angles: 106.06 106.06 97.79
Fractional positions:
1 Mg 0.2046 0.7954 0.7500
2 Mg 0.7954 0.2046 0.2500
3 Pa 0.0969 0.9031 0.2500
4 Pa 0.9031 0.0969 0.7500
5 Nb 0.2637 0.4390 0.3064
6 Nb 0.4390 0.2637 0.8064
7 Nb 0.5610 0.7363 0.1936
8 Nb 0.7363 0.5610 0.6936
9 N 0.0539 0.1862 0.1552
10 N 0.1312 0.6491 0.3919
11 N 0.1862 0.0539 0.6552
12 N 0.3260 0.4360 0.0251
13 N 0.3509 0.8688 0.1081
14 N 0.4360 0.3260 0.5251
15 N 0.5640 0.6740 0.4749
16 N 0.6491 0.1312 0.8919
17 N 0.6740 0.5640 0.9749
18 N 0.8138 0.9461 0.3448
19 N 0.8688 0.3509 0.6081
20 N 0.9461 0.8138 0.8448

[8]
This record from Alexandria via LeMat-Bulk describes TmCo2B after structural relaxation. The functional is PBE.

As for the space-group type: No. 166. The value obtained for the final energy is -6.5654 eV/atom. Its crystal system is trigonal.

abc: 5.2129 5.2129 5.2129
angles: 40.61 40.61 40.61
Fractional positions:
1 Tm 0.0000 0.0000 0.0000
2 Co 0.1977 0.1977 0.1977
3 Co 0.8023 0.8023 0.8023
4 B 0.5000 0.5000 0.5000

[9]
This record from Alexandria via LeMat-Bulk describes CsMoN2 after structural relaxation. The functional is PBE.

As for the space-group type: No. 57. Its crystal system is orthorhombic. As for the offset from the most stable computed form: 0 meV per atom. The uncorrected formation energy comes out at -0.437 eV per atom.

abc: 8.7866 6.1995 12.3953
angles: 90.00 90.00 90.00
Fractional positions:
1 Cs 0.1247 0.2267 0.2500
2 Cs 0.1247 0.2733 0.7500
3 Cs 0.3748 0.2500 0.0000
4 Cs 0.3748 0.2500 0.5000
5 Cs 0.6252 0.7500 0.0000
6 Cs 0.6252 0.7500 0.5000
7 Cs 0.8753 0.7267 0.2500
8 Cs 0.8753 0.7733 0.7500
9 Mo 0.1252 0.7500 0.0000
10 Mo 0.1252 0.7500 0.5000
11 Mo 0.3754 0.7359 0.2500
12 Mo 0.3754 0.7641 0.7500
13 Mo 0.6246 0.2359 0.2500
14 Mo 0.6246 0.2641 0.7500
15 Mo 0.8748 0.2500 0.0000
16 Mo 0.8748 0.2500 0.5000
17 N 0.0000 0.0000 0.0000
18 N 0.0000 0.0000 0.5000
19 N 0.0000 0.5000 0.0000
20 N 0.0000 0.5000 0.5000
21 N 0.2505 0.7485 0.1250
22 N 0.2505 0.7485 0.3750
23 N 0.2505 0.7515 0.6250
24 N 0.2505 0.7515 0.8750
25 N 0.4891 0.0252 0.7500
26 N 0.4891 0.4748 0.2500
27 N 0.5109 0.5252 0.7500
28 N 0.5109 0.9748 0.2500
29 N 0.7495 0.2485 0.1250
30 N 0.7495 0.2485 0.3750
31 N 0.7495 0.2515 0.6250
32 N 0.7495 0.2515 0.8750

[10]
This record from Alexandria via LeMat-Bulk describes GaSnB3 after structural relaxation. The functional is PBE.

As for the space-group type: No. 221. Its crystal system is cubic. As for the offset from the most stable computed form: 0 meV per atom.

abc: 4.2361 4.2361 4.2361
angles: 90.00 90.00 90.00
Fractional positions:
1 Ga 0.0000 0.0000 0.0000
2 Sn 0.5000 0.5000 0.5000
3 B 0.0000 0.0000 0.5000
4 B 0.0000 0.5000 0.0000
5 B 0.5000 0.0000 0.0000

[11]
This record from Alexandria via LeMat-Bulk describes Nd2ZnHg4 after structural relaxation. The functional is PBE.

As for the space-group type: No. 166. The value obtained for the final energy is -1.9938 eV/atom. Its crystal system is trigonal.

abc: 8.6336 8.6336 8.6336
angles: 34.97 34.97 34.97
Fractional positions:
1 Nd 0.2449 0.2449 0.2449
2 Nd 0.7551 0.7551 0.7551
3 Zn 0.5000 0.5000 0.5000
4 Hg 0.1161 0.1161 0.1161
5 Hg 0.3745 0.3745 0.3745
6 Hg 0.6255 0.6255 0.6255
7 Hg 0.8839 0.8839 0.8839

[12]
This record from Alexandria via LeMat-Bulk describes Ba2GePdO6 after structural relaxation. The functional is PBE.

As for the space-group type: No. 225. Its crystal system is cubic. The uncorrected formation energy comes out at -1.654 eV per atom.

abc: 5.7344 5.7344 5.7344
angles: 60.00 60.00 60.00
Fractional positions:
1 Ba 0.2500 0.2500 0.2500
2 Ba 0.7500 0.7500 0.7500
3 Ge 0.0000 0.0000 0.0000
4 Pd 0.5000 0.5000 0.5000
5 O 0.2409 0.2409 0.7591
6 O 0.2409 0.7591 0.2409
7 O 0.2409 0.7591 0.7591
8 O 0.7591 0.2409 0.2409
9 O 0.7591 0.2409 0.7591
10 O 0.7591 0.7591 0.2409

[13]
This record from Alexandria via LeMat-Bulk describes LiSm2Ta2Rh5 after structural relaxation. The functional is PBE.

As for the space-group type: No. 127. The value obtained for the final energy is -7.5261 eV/atom. Its crystal system is tetragonal.

abc: 10.7512 10.7512 3.1724
angles: 90.00 90.00 90.00
Fractional positions:
1 Li 0.0000 0.0000 0.0000
2 Li 0.5000 0.5000 0.0000
3 Sm 0.1683 0.3317 0.0000
4 Sm 0.3317 0.8317 0.0000
5 Sm 0.6683 0.1683 0.0000
6 Sm 0.8317 0.6683 0.0000
7 Ta 0.1406 0.6406 0.0000
8 Ta 0.3594 0.1406 0.0000
9 Ta 0.6406 0.8594 0.0000
10 Ta 0.8594 0.3594 0.0000
11 Rh 0.0000 0.5000 0.5000
12 Rh 0.0606 0.8103 0.5000
13 Rh 0.1897 0.0606 0.5000
14 Rh 0.3103 0.5606 0.5000
15 Rh 0.4394 0.3103 0.5000
16 Rh 0.5000 0.0000 0.5000
17 Rh 0.5606 0.6897 0.5000
18 Rh 0.6897 0.4394 0.5000
19 Rh 0.8103 0.9394 0.5000
20 Rh 0.9394 0.1897 0.5000

[14]
This record from Alexandria via LeMat-Bulk describes ZrCrCu after structural relaxation. The functional is PBE.

As for the space-group type: No. 46. Its crystal system is orthorhombic. As for the offset from the most stable computed form: 51 meV per atom.

abc: 5.2929 5.2929 5.2929
angles: 136.11 96.49 99.57
Fractional positions:
1 Zr 0.1893 0.2500 0.4393
2 Zr 0.8107 0.7500 0.5607
3 Cr 0.2721 0.5738 0.1984
4 Cr 0.3754 0.0738 0.8016
5 Cu 0.5963 0.9511 0.1452
6 Cu 0.8059 0.4511 0.8548

[15]
This record from Alexandria via LeMat-Bulk describes MgCrOs2 after structural relaxation. The functional is PBE.

As for the space-group type: No. 99. The value obtained for the final energy is -8.1487 eV/atom. Its crystal system is tetragonal.

abc: 2.7940 2.7940 7.9394
angles: 90.00 90.00 90.00
Fractional positions:
1 Mg 0.0000 0.0000 0.0000
2 Cr 0.5000 0.5000 0.7098
3 Os 0.0000 0.0000 0.4810
4 Os 0.5000 0.5000 0.2610

[16]
This record from Alexandria via LeMat-Bulk describes LiSn2P5O15 after structural relaxation. The functional is PBE.

As for the space-group type: No. 7. Its crystal system is monoclinic. The uncorrected formation energy comes out at -2.046 eV per atom.

abc: 5.5396 9.8374 13.5429
angles: 90.00 113.09 90.00
Fractional positions:
1 Li 0.0000 0.0198 0.0000
2 Li 0.0000 0.9802 0.5000
3 Sn 0.8731 0.3044 0.5552
4 Sn 0.8731 0.6956 0.0552
5 Sn 0.9431 0.3121 0.8863
6 Sn 0.9431 0.6879 0.3863
7 P 0.2341 0.1954 0.3927
8 P 0.2341 0.8046 0.8927
9 P 0.3695 0.4602 0.3279
10 P 0.3695 0.5398 0.8279
11 P 0.4495 0.4583 0.1228
12 P 0.4495 0.5417 0.6228
13 P 0.5771 0.1879 0.0590
14 P 0.5771 0.8121 0.5590
15 P 0.9325 0.0002 0.2225
16 P 0.9325 0.9998 0.7225
17 O 0.0062 0.0633 0.6373
18 O 0.0062 0.9367 0.1373
19 O 0.0408 0.1656 0.4429
20 O 0.0408 0.8344 0.9429
21 O 0.1651 0.1085 0.2846
22 O 0.1651 0.8915 0.7846
23 O 0.1777 0.3487 0.3468
24 O 0.1777 0.6513 0.8468
25 O 0.1917 0.4623 0.0267
26 O 0.1917 0.5377 0.5267
27 O 0.2287 0.4057 0.8045
28 O 0.2287 0.5943 0.3045
29 O 0.2832 0.1665 0.0037
30 O 0.2832 0.8335 0.5037
31 O 0.3917 0.3969 0.2222
32 O 0.3917 0.6031 0.7222
33 O 0.5219 0.1765 0.4606
34 O 0.5219 0.8235 0.9606
35 O 0.6080 0.4136 0.6543
36 O 0.6080 0.5864 0.1543
37 O 0.6351 0.3401 0.1079
38 O 0.6351 0.6599 0.6079
39 O 0.6381 0.4559 0.4183
40 O 0.6381 0.5441 0.9183
41 O 0.6756 0.0970 0.1667
42 O 0.6756 0.9030 0.6667
43 O 0.7469 0.1666 0.9972
44 O 0.7469 0.8334 0.4972
45 O 0.8782 0.0870 0.8020
46 O 0.8782 0.9130 0.3020

[17]
This record from Alexandria via LeMat-Bulk describes Ta2SnHIr after structural relaxation. The functional is PBE.

As for the space-group type: No. 123. The value obtained for the final energy is -8.0557 eV/atom. Its crystal system is tetragonal.

abc: 4.0914 4.0914 4.3483
angles: 90.00 90.00 90.00
Fractional positions:
1 Ta 0.0000 0.5000 0.0000
2 Ta 0.5000 0.0000 0.0000
3 Sn 0.0000 0.0000 0.5000
4 H 0.5000 0.5000 0.0000
5 Ir 0.5000 0.5000 0.5000

[18]
This record from Alexandria via LeMat-Bulk describes GdPuCoNi after structural relaxation. The functional is PBE.

As for the space-group type: No. 216. The value obtained for the final energy is -10.3911 eV/atom. Its crystal system is cubic.

abc: 4.7546 4.7546 4.7546
angles: 60.00 60.00 60.00
Fractional positions:
1 Gd 0.0000 0.0000 0.0000
2 Pu 0.5000 0.5000 0.5000
3 Co 0.2500 0.2500 0.2500
4 Ni 0.7500 0.7500 0.7500

[19]
This record from Alexandria via LeMat-Bulk describes SrSmCuN2 after structural relaxation. The functional is PBE.

As for the space-group type: No. 49. Its crystal system is orthorhombic. The uncorrected formation energy comes out at -0.643 eV per atom.

abc: 5.2909 5.5132 6.7533
angles: 90.00 90.00 90.00
Fractional positions:
1 Sr 0.0000 0.0000 0.2500
2 Sr 0.0000 0.0000 0.7500
3 Sm 0.5000 0.5000 0.2500
4 Sm 0.5000 0.5000 0.7500
5 Cu 0.0000 0.5000 0.0000
6 Cu 0.0000 0.5000 0.5000
7 N 0.2678 0.2806 0.0000
8 N 0.2678 0.7194 0.5000
9 N 0.7322 0.2806 0.5000
10 N 0.7322 0.7194 0.0000

[20]
This record from Alexandria via LeMat-Bulk describes CoMo2Pt after structural relaxation. The functional is PBE.

As for the space-group type: No. 119. Its crystal system is tetragonal. As for the offset from the most stable computed form: 123 meV per atom.

abc: 4.6915 4.6915 4.6915
angles: 130.83 130.83 72.08
Fractional positions:
1 Co 0.0000 0.0000 0.0000
2 Mo 0.5000 0.5000 0.0000
3 Mo 0.7500 0.2500 0.5000
4 Pt 0.2500 0.7500 0.5000